The following is a GGA-PBE calculation of crystalline KRbBa2P at its relaxed geometry, from Alexandria via LeMat-Bulk.

The calculation puts the energy of formation from the pure elements at -319 meV per atom. The value obtained for the density of states at the Fermi level is 0.7232 states/eV/atom. As for the total moment: 0.0000 μB/atom.

Geometry as CIF:
```
data_KRbBa2P
_chemical_formula_sum 'K1 Rb1 Ba2 P1'
_cell_length_a 6.3978
_cell_length_b 6.3978
_cell_length_c 6.8737
_cell_angle_alpha 90.00
_cell_angle_beta 90.00
_cell_angle_gamma 90.00
_symmetry_space_group_name_H-M 'P 1'
_symmetry_Int_Tables_number 1
loop_
_symmetry_equiv_pos_as_xyz
'x,y,z'
loop_
_atom_site_label
_atom_site_fract_x
_atom_site_fract_y
_atom_site_fract_z
P1 0.0000 0.0000 0.0000
K1 0.0000 0.0000 0.5000
Ba1 0.0000 0.5000 0.0000
Ba2 0.5000 0.0000 0.0000
Rb1 0.5000 0.5000 0.5000
```

The following is a GGA-PBE calculation of crystalline NbCdNF2 at its relaxed geometry, from Alexandria via LeMat-Bulk.

The value obtained for the density of states at the Fermi level is 0.7078 states/eV/atom. The value obtained for the formation energy without anion corrections is -1.177 eV per atom. As for the total moment: 0.1936 μB/atom.

Geometry as CIF:
```
data_NbCdNF2
_chemical_formula_sum 'Nb1 Cd1 N1 F2'
_cell_length_a 4.2949
_cell_length_b 4.2949
_cell_length_c 4.0677
_cell_angle_alpha 90.00
_cell_angle_beta 90.00
_cell_angle_gamma 90.00
_symmetry_space_group_name_H-M 'P 1'
_symmetry_Int_Tables_number 1
loop_
_symmetry_equiv_pos_as_xyz
'x,y,z'
loop_
_atom_site_label
_atom_site_fract_x
_atom_site_fract_y
_atom_site_fract_z
N1 0.0000 0.0000 0.5000
Nb1 0.0000 0.0000 0.0000
F1 0.0000 0.5000 0.0000
F2 0.5000 0.0000 0.0000
Cd1 0.5000 0.5000 0.5000
```

The following is a GGA-PBE calculation of crystalline Er2TlHg3 at its relaxed geometry, from Alexandria via LeMat-Bulk.

The calculation puts the energy of formation from the pure elements at -332 meV per atom. The value obtained for the density of states at the Fermi level is 0.6292 states/eV/atom. As for the total moment: 0.0000 μB/atom.

Geometry as CIF:
```
data_Er2TlHg3
_chemical_formula_sum 'Er4 Tl2 Hg6'
_cell_length_a 4.9428
_cell_length_b 8.1344
_cell_length_c 8.9147
_cell_angle_alpha 117.14
_cell_angle_beta 105.81
_cell_angle_gamma 90.00
_symmetry_space_group_name_H-M 'P 1'
_symmetry_Int_Tables_number 1
loop_
_symmetry_equiv_pos_as_xyz
'x,y,z'
loop_
_atom_site_label
_atom_site_fract_x
_atom_site_fract_y
_atom_site_fract_z
Er1 0.3413 0.3417 0.6835
Er2 0.6587 0.1583 0.3165
Er3 0.3413 0.8417 0.6835
Er4 0.6587 0.6583 0.3165
Tl1 0.0000 0.5000 0.0000
Tl2 0.0000 0.0000 0.0000
Hg1 0.5000 0.2500 0.0000
Hg2 0.5000 0.7500 0.0000
Hg3 0.8182 0.0692 0.6385
Hg4 0.1818 0.4308 0.3615
Hg5 0.1818 0.9308 0.3615
Hg6 0.8182 0.5692 0.6385
```

Q: total moment of number 1 (KRbBa2P)?
A: 0.0000 μB/atom

Q: Which value of total moment does entry 1 give?
A: 0.0000 μB/atom

Please write out number 1 again, unchanged.
The following is a GGA-PBE calculation of crystalline KRbBa2P at its relaxed geometry, from Alexandria via LeMat-Bulk.

The calculation puts the energy of formation from the pure elements at -319 meV per atom. The value obtained for the density of states at the Fermi level is 0.7232 states/eV/atom. As for the total moment: 0.0000 μB/atom.

Geometry as CIF:
```
data_KRbBa2P
_chemical_formula_sum 'K1 Rb1 Ba2 P1'
_cell_length_a 6.3978
_cell_length_b 6.3978
_cell_length_c 6.8737
_cell_angle_alpha 90.00
_cell_angle_beta 90.00
_cell_angle_gamma 90.00
_symmetry_space_group_name_H-M 'P 1'
_symmetry_Int_Tables_number 1
loop_
_symmetry_equiv_pos_as_xyz
'x,y,z'
loop_
_atom_site_label
_atom_site_fract_x
_atom_site_fract_y
_atom_site_fract_z
P1 0.0000 0.0000 0.0000
K1 0.0000 0.0000 0.5000
Ba1 0.0000 0.5000 0.0000
Ba2 0.5000 0.0000 0.0000
Rb1 0.5000 0.5000 0.5000
```

Q: Among the records above, which one has the highest total moment?
A: NbCdNF2